DFT (PBEsol) results for crystalline NaC3S at its relaxed geometry.

Results
**Crystal system**: cubic
**Raw formation energy**: 2365 meV per atom

Unit cell a=3.670 b=3.670 c=3.670 alpha=90.00 beta=90.00 gamma=90.00
Atoms (fractional coordinates):
Na: 0.000 0.000 0.000
C: 0.000 0.500 0.500
C: 0.500 0.000 0.500
C: 0.500 0.500 0.000
S: 0.500 0.500 0.500

=====

DFT (PBEsol) results for crystalline CaSi2Ir at its relaxed geometry.

Results
**Crystal system**: trigonal
**Raw formation energy**: -687 meV per atom

Unit cell a=5.602 b=5.602 c=5.602 alpha=42.30 beta=42.30 gamma=42.30
Atoms (fractional coordinates):
Ca: 0.000 0.000 0.000
Si: 0.211 0.211 0.211
Si: 0.789 0.789 0.789
Ir: 0.500 0.500 0.500

=====

DFT (PBEsol) results for crystalline Li4Fe3Ni3Sn2O16 at its relaxed geometry.

Results
**Crystal system**: monoclinic
**Raw formation energy**: -1430 meV per atom

Unit cell a=5.761 b=5.761 c=9.457 alpha=90.41 beta=90.41 gamma=58.98
Atoms (fractional coordinates):
Li: 0.000 0.000 0.000
Li: 0.003 0.003 0.498
Li: 0.333 0.333 0.400
Li: 0.662 0.662 0.896
Fe: 0.169 0.169 0.721
Fe: 0.347 0.825 0.219
Fe: 0.825 0.347 0.219
Ni: 0.169 0.662 0.720
Ni: 0.662 0.169 0.720
Ni: 0.834 0.834 0.220
Sn: 0.332 0.332 0.997
Sn: 0.671 0.671 0.499
O: 0.006 0.006 0.811
O: 0.011 0.011 0.309
O: 0.028 0.479 0.837
O: 0.157 0.157 0.111
O: 0.163 0.686 0.109
O: 0.318 0.849 0.609
O: 0.326 0.326 0.618
O: 0.479 0.028 0.837
O: 0.481 0.481 0.838
O: 0.514 0.967 0.333
O: 0.516 0.516 0.340
O: 0.664 0.664 0.112
O: 0.686 0.163 0.109
O: 0.848 0.848 0.605
O: 0.849 0.318 0.609
O: 0.967 0.514 0.333

=====

DFT (PBEsol) results for crystalline Pr2CdAg at its relaxed geometry.

Results
**Crystal system**: cubic
**Formation energy from the elements**: -0.26 eV/atom

Unit cell a=5.315 b=5.315 c=5.315 alpha=60.00 beta=60.00 gamma=60.00
Atoms (fractional coordinates):
Pr: 0.250 0.250 0.250
Pr: 0.750 0.750 0.750
Cd: 0.000 0.000 0.000
Ag: 0.500 0.500 0.500

=====

DFT (PBEsol) results for crystalline MgRuAu2 at its relaxed geometry.

Results
**Crystal system**: tetragonal
**Formation energy from the elements**: 0.07 eV/atom

Unit cell a=3.305 b=3.305 c=5.892 alpha=90.00 beta=90.00 gamma=90.00
Atoms (fractional coordinates):
Mg: 0.000 0.000 0.000
Ru: 0.500 0.500 0.253
Au: 0.000 0.000 0.482
Au: 0.500 0.500 0.756

=====

DFT (PBEsol) results for crystalline PmTm3 at its relaxed geometry.

Results
**Crystal system**: hexagonal
**Formation energy from the elements**: 0.01 eV/atom

Unit cell a=7.043 b=7.043 c=5.522 alpha=90.00 beta=90.00 gamma=120.00
Atoms (fractional coordinates):
Pm: 0.333 0.667 0.250
Pm: 0.667 0.333 0.750
Tm: 0.165 0.331 0.750
Tm: 0.165 0.835 0.750
Tm: 0.331 0.165 0.250
Tm: 0.669 0.835 0.750
Tm: 0.835 0.165 0.250
Tm: 0.835 0.669 0.250

=====

DFT (PBEsol) results for crystalline HfHgN2 at its relaxed geometry.

Results
**Crystal system**: tetragonal
**Raw formation energy**: -556 meV per atom

Unit cell a=6.125 b=6.125 c=6.125 alpha=131.61 beta=131.61 gamma=70.84
Atoms (fractional coordinates):
Hf: 0.000 0.000 0.000
Hf: 0.750 0.250 0.500
Hg: 0.250 0.750 0.500
Hg: 0.500 0.500 0.000
N: 0.079 0.625 0.954
N: 0.375 0.329 0.454
N: 0.671 0.125 0.046
N: 0.875 0.921 0.546

=====

DFT (PBEsol) results for crystalline MgTi2O4 at its relaxed geometry.

Results
**Crystal system**: orthorhombic
**Raw formation energy**: -2803 meV per atom

Unit cell a=5.731 b=10.451 c=4.953 alpha=90.00 beta=90.00 gamma=90.00
Atoms (fractional coordinates):
Mg: 0.250 0.250 0.031
Mg: 0.250 0.750 0.332
Mg: 0.750 0.250 0.668
Mg: 0.750 0.750 0.969
Ti: 0.000 0.000 0.500
Ti: 0.000 0.500 0.500
Ti: 0.250 0.512 0.970
Ti: 0.250 0.988 0.970
Ti: 0.500 0.000 0.500
Ti: 0.500 0.500 0.500
Ti: 0.750 0.012 0.030
Ti: 0.750 0.488 0.030
O: 0.002 0.118 0.839
O: 0.002 0.382 0.839
O: 0.250 0.100 0.314
O: 0.250 0.400 0.314
O: 0.250 0.618 0.638
O: 0.250 0.882 0.638
O: 0.498 0.118 0.839
O: 0.498 0.382 0.839
O: 0.502 0.618 0.161
O: 0.502 0.882 0.161
O: 0.750 0.118 0.362
O: 0.750 0.382 0.362
O: 0.750 0.600 0.686
O: 0.750 0.900 0.686
O: 0.998 0.618 0.161
O: 0.998 0.882 0.161

=====

DFT (PBEsol) results for crystalline AgMoRh2 at its relaxed geometry.

Results
**Crystal system**: tetragonal
**Formation energy from the elements**: 0.15 eV/atom

Unit cell a=4.847 b=4.847 c=4.847 alpha=134.07 beta=134.07 gamma=66.98
Atoms (fractional coordinates):
Ag: 0.000 0.000 0.000
Mo: 0.250 0.750 0.500
Rh: 0.500 0.500 0.000
Rh: 0.750 0.250 0.500

=====

DFT (PBEsol) results for crystalline CaCd at its relaxed geometry.

Results
**Crystal system**: cubic
**Formation energy from the elements**: -0.10 eV/atom

Unit cell a=4.450 b=4.450 c=4.450 alpha=60.00 beta=60.00 gamma=60.00
Atoms (fractional coordinates):
Ca: 0.000 0.000 0.000
Cd: 0.500 0.500 0.500

=====

DFT (PBEsol) results for crystalline LaSe2Cl at its relaxed geometry.

Results
**Crystal system**: tetragonal
**Raw formation energy**: -1188 meV per atom

Unit cell a=3.815 b=3.815 c=6.946 alpha=90.00 beta=90.00 gamma=90.00
Atoms (fractional coordinates):
La: 0.000 0.000 0.000
Se: 0.000 0.000 0.607
Se: 0.500 0.500 0.701
Cl: 0.500 0.500 0.193

=====

DFT (PBEsol) results for crystalline ScZn at its relaxed geometry.

Results
**Crystal system**: cubic
**Formation energy from the elements**: -0.39 eV/atom

Unit cell a=3.299 b=3.299 c=3.299 alpha=90.00 beta=90.00 gamma=90.00
Atoms (fractional coordinates):
Sc: 0.000 0.000 0.000
Zn: 0.500 0.500 0.500